(1)
La2Sm2Hg | GGA-PBE | relaxed

crystal system	tetragonal
VASP energy	-3.96	eV per atom
formation enthalpy at 0 K	-3.67	kJ per mole of atoms

abc: 13.5263 13.5263 13.5263
angles: 157.67 157.67 31.79
Last column: nearest neighbours and their distance in Å.
Fractional positions:
La: 0.0544 0.3044 0.7500  2 Hg 3.20
La: 0.3044 0.0544 0.2500  2 Hg 3.20
La: 0.6956 0.9456 0.7500  2 Hg 3.20
La: 0.9456 0.6956 0.2500  2 Hg 3.20
Sm: 0.2030 0.4530 0.7500  2 Hg 3.31, 2 Sm 3.58, 4 La 3.71
Sm: 0.4530 0.2030 0.2500  2 Hg 3.31, 2 Sm 3.58, 4 La 3.71
Sm: 0.5470 0.7970 0.7500  2 Hg 3.31, 2 Sm 3.58, 4 La 3.71
Sm: 0.7970 0.5470 0.2500  2 Hg 3.31, 2 Sm 3.58, 4 La 3.71
Hg: 0.3750 0.6250 0.7500  4 La 3.20, 4 Sm 3.31
Hg: 0.6250 0.3750 0.2500  4 La 3.20, 4 Sm 3.31

=====

(2)
La2Sm2Hg | GGA-PBE | relaxed

crystal system	tetragonal
VASP energy	-4.10	eV per atom
formation enthalpy at 0 K	-17.70	kJ per mole of atoms

abc: 11.9064 11.9064 11.9064
angles: 161.92 161.92 25.67
Last column: nearest neighbours and their distance in Å.
Fractional positions:
La: 0.1932 0.1932 0.0000  4 Sm 3.68, 8 La 3.73-3.74
La: 0.8068 0.8068 0.0000  4 Sm 3.68, 8 La 3.73-3.74
Sm: 0.4167 0.4167 0.0000  4 Hg 3.28
Sm: 0.5833 0.5833 0.0000  4 Hg 3.28
Hg: 0.0000 0.0000 0.0000  8 Sm 3.28

=====

(3)
LaSm5Hg | GGA-PBE | relaxed

crystal system	monoclinic
VASP energy	-4.14	eV per atom
formation enthalpy at 0 K	-1.97	kJ per mole of atoms

abc: 6.1099 6.1099 12.5962
angles: 98.90 98.90 87.69
Last column: nearest neighbours and their distance in Å.
Fractional positions:
La: 0.0273 0.9727 0.7500  2 Hg 3.16, 3 Sm 3.31-3.32
La: 0.9727 0.0273 0.2500  2 Hg 3.16, 3 Sm 3.31-3.32
Sm: 0.1062 0.4577 0.6336  1 Hg 3.07, 1 La 3.31, 1 Sm 3.40
Sm: 0.2184 0.4901 0.9334  5 Sm 3.35-3.71, 2 Hg 3.38-3.59, 1 La 3.73
Sm: 0.3650 0.6350 0.2500  1 La 3.32, 6 Sm 3.40-3.68
Sm: 0.4577 0.1062 0.1336  1 Hg 3.07, 1 La 3.31, 1 Sm 3.40
Sm: 0.4901 0.2184 0.4334  5 Sm 3.35-3.71, 2 Hg 3.38-3.59, 1 La 3.73
Sm: 0.5099 0.7816 0.5666  5 Sm 3.35-3.71, 2 Hg 3.38-3.59, 1 La 3.73
Sm: 0.5423 0.8938 0.8664  1 Hg 3.07, 1 La 3.31, 1 Sm 3.40
Sm: 0.6350 0.3650 0.7500  1 La 3.32, 6 Sm 3.40-3.68
Sm: 0.7816 0.5099 0.0666  5 Sm 3.35-3.71, 2 Hg 3.38-3.59, 1 La 3.73
Sm: 0.8938 0.5423 0.3664  1 Hg 3.07, 1 La 3.31, 1 Sm 3.40
Hg: 0.0000 0.0000 0.0000  4 Sm 3.07-3.38, 2 La 3.16
Hg: 0.0000 0.0000 0.5000  4 Sm 3.07-3.38, 2 La 3.16